Compound: DyCO4
Source: the Alexandria database
Functional: GGA-PBE
Structure: optimized geometry

Cell: 4.8106 7.2355 8.9628 Å, 90.00 90.00 90.00°
Last column: nearest neighbours and their distance in Å.
Positions (direct):
Dy: 0.0335 0.8613 0.3317  5 O 2.21-2.46
Dy: 0.4665 0.1387 0.8317  5 O 2.21-2.46
Dy: 0.9665 0.3613 0.1683  5 O 2.21-2.46
Dy: 0.5335 0.6387 0.6683  5 O 2.21-2.46
C: 0.0171 0.9609 0.6610  3 O 1.28-1.31
C: 0.4829 0.0391 0.1610  3 O 1.28-1.31
C: 0.9829 0.4609 0.8390  3 O 1.28-1.31
C: 0.5171 0.5391 0.3390  3 O 1.28-1.31
O: 0.9731 0.6687 0.1436  2 Dy 2.21-2.24, 1 O 2.34
O: 0.5269 0.3313 0.6436  2 Dy 2.21-2.24, 1 O 2.34
O: 0.0269 0.1687 0.3564  2 Dy 2.21-2.24, 1 O 2.34
O: 0.4731 0.8313 0.8564  2 Dy 2.21-2.24, 1 O 2.34
O: 0.5460 0.9320 0.2692  1 C 1.28
O: 0.9540 0.0680 0.7692  1 C 1.28
O: 0.4540 0.4320 0.2308  1 C 1.28
O: 0.0460 0.5680 0.7308  1 C 1.28
O: 0.7816 0.5658 0.3686  1 C 1.31
O: 0.7184 0.4342 0.8686  1 C 1.31
O: 0.2184 0.0658 0.1314  1 C 1.31
O: 0.2816 0.9342 0.6314  1 C 1.31
O: 0.3372 0.6208 0.4243  1 C 1.30
O: 0.1628 0.3792 0.9243  1 C 1.30
O: 0.6628 0.1208 0.0757  1 C 1.30
O: 0.8372 0.8792 0.5757  1 C 1.30

Computed properties:
- formation energy without anion corrections (eV per formula unit) = -12.13
- symmetry = P2_12_12_1